The following is a PBE-GGA calculation of PmHo7Er5 after structural relaxation, from the Alexandria database.

Values from the calculation:
- Formation energy: 0.25 eV per atom
- Space group: Imm2
- Calculated total energy: -4.3312 eV per atom

a b c (Å): 6.6494 8.6286 8.6286
angles (deg): 79.60 67.34 67.34
Sites, in units of the cell vectors:
Ho 0.5769 0.4231 0.4231
Ho 0.5191 0.8102 0.1516
Ho 0.0191 0.3094 0.6524
Ho 0.2701 0.7299 0.7299
Ho 0.2671 0.2329 0.2329
Ho 0.0191 0.6524 0.3094
Ho 0.5191 0.1516 0.8102
Er 0.7706 0.7294 0.7294
Er 0.0021 0.4608 0.0028
Er 0.0021 0.0028 0.4608
Er 0.5343 0.0028 0.4608
Er 0.5343 0.4608 0.0028
Pm 0.9661 0.0339 0.0339